VASP calculation (PBE) on Dy5Co2Te2 after structural relaxation.

```
Dy5Co2Te2
1.0
7.201 0.000 2.614
0.000 7.594 0.000
0.948 0.000 8.615
Dy Te Co
10 4 4
direct
0.723 0.340 0.230
0.547 0.840 0.230
0.047 0.660 0.230
0.777 0.840 0.770
0.453 0.160 0.770
0.277 0.660 0.770
0.000 0.000 0.000
0.953 0.340 0.770
0.500 0.500 0.000
0.223 0.160 0.230
0.290 0.500 0.420
0.710 0.500 0.580
0.210 0.000 0.580
0.790 0.000 0.420
0.868 0.630 0.000
0.132 0.370 0.000
0.632 0.130 0.000
0.368 0.870 0.000
```

Calculated values
E_form (uncorrected) (eV/atom): -0.692
Fermi-level density of states (states/eV/atom): 0.758